Material: Na2CoO4
Method: DFT, GGA+U
State: optimized geometry

Its total energy is -133.6 eV for the cell shown. The magnetization comes out at 1.00 μB per formula unit.

It has space group I4_1/amd (No. 141, origin choice 2), with a = 6.1741 Å, b = 6.1741 Å, c = 8.7676 Å, α = 90.00°, β = 90.00° and γ = 90.00°. The distinct sites, in fractional coordinates, are Na at (0.0000, 0.0000, 0.0000), Co at (0.0000, 0.2500, 0.3750) and O at (0.0000, 0.0307, 0.2654).